# DyNi7Ge2 (PBE, optimized geometry)
data_DyNi7Ge2
_chemical_formula_sum 'Dy1 Ni7 Ge2'
_symmetry_space_group_name_H-M 'P 1'
_symmetry_Int_Tables_number 1
_symmetry_space_group_name_Hall 'P 1'
_cell_length_a 6.567
_cell_length_b 6.567
_cell_length_c 4.330
_cell_angle_alpha 90.00
_cell_angle_beta 90.00
_cell_angle_gamma 119.91
loop_
_atom_site_label
_atom_site_type_symbol
_atom_site_fract_x
_atom_site_fract_y
_atom_site_fract_z
Dy1 Dy 0.000 0.000 0.000
Ni1 Ni 0.068 0.299 0.500
Ni2 Ni 0.230 0.770 0.000
Ni3 Ni 0.299 0.068 0.500
Ni4 Ni 0.500 0.500 0.500
Ni5 Ni 0.701 0.932 0.500
Ni6 Ni 0.770 0.230 0.000
Ni7 Ni 0.932 0.701 0.500
Ge1 Ge 0.299 0.701 0.500
Ge2 Ge 0.701 0.299 0.500
# N(E_F) = 0.965 states/eV/atom
# Calculated formation energy = 0.84 eV per formula unit

# Dy2NiGe3 (PBE, optimized geometry)
data_Dy2NiGe3
_chemical_formula_sum 'Dy2 Ni1 Ge3'
_symmetry_space_group_name_H-M 'P 1'
_symmetry_Int_Tables_number 1
_symmetry_space_group_name_Hall 'P 1'
_cell_length_a 4.026
_cell_length_b 4.197
_cell_length_c 7.072
_cell_angle_alpha 90.00
_cell_angle_beta 90.00
_cell_angle_gamma 90.00
loop_
_atom_site_label
_atom_site_type_symbol
_atom_site_fract_x
_atom_site_fract_y
_atom_site_fract_z
Dy1 Dy 0.000 0.000 0.000
Dy2 Dy 0.000 0.500 0.492
Ni1 Ni 0.500 0.000 0.314
Ge1 Ge 0.500 0.000 0.638
Ge2 Ge 0.500 0.500 0.181
Ge3 Ge 0.500 0.500 0.830
# N(E_F) = 0.437 states/eV/atom
# Calculated formation energy = -4.27 eV per formula unit
# Relative energy among the computed polymorphs = 0 meV/atom

# DyNi4Ge12 (PBE, optimized geometry)
data_DyNi4Ge12
_chemical_formula_sum 'Dy1 Ni4 Ge12'
_symmetry_space_group_name_H-M 'P 1'
_symmetry_Int_Tables_number 1
_symmetry_space_group_name_Hall 'P 1'
_cell_length_a 7.273
_cell_length_b 7.273
_cell_length_c 7.273
_cell_angle_alpha 109.47
_cell_angle_beta 109.47
_cell_angle_gamma 109.47
loop_
_atom_site_label
_atom_site_type_symbol
_atom_site_fract_x
_atom_site_fract_y
_atom_site_fract_z
Dy1 Dy 0.000 0.000 0.000
Ni1 Ni 0.000 0.000 0.500
Ni2 Ni 0.000 0.500 0.000
Ni3 Ni 0.500 0.000 0.000
Ni4 Ni 0.500 0.500 0.500
Ge1 Ge 0.161 0.346 0.507
Ge2 Ge 0.161 0.654 0.815
Ge3 Ge 0.185 0.839 0.346
Ge4 Ge 0.346 0.185 0.839
Ge5 Ge 0.346 0.507 0.161
Ge6 Ge 0.493 0.839 0.654
Ge7 Ge 0.507 0.161 0.346
Ge8 Ge 0.654 0.493 0.839
Ge9 Ge 0.654 0.815 0.161
Ge10 Ge 0.815 0.161 0.654
Ge11 Ge 0.839 0.346 0.185
Ge12 Ge 0.839 0.654 0.493
# N(E_F) = 0.518 states/eV/atom
# Calculated formation energy = -3.19 eV per formula unit

# DyNi2Ge (PBE, optimized geometry)
data_DyNi2Ge
_chemical_formula_sum 'Dy4 Ni8 Ge4'
_symmetry_space_group_name_H-M 'P 1'
_symmetry_Int_Tables_number 1
_symmetry_space_group_name_Hall 'P 1'
_cell_length_a 7.133
_cell_length_b 6.504
_cell_length_c 5.520
_cell_angle_alpha 90.00
_cell_angle_beta 90.00
_cell_angle_gamma 90.00
loop_
_atom_site_label
_atom_site_type_symbol
_atom_site_fract_x
_atom_site_fract_y
_atom_site_fract_z
Dy1 Dy 0.030 0.250 0.154
Dy2 Dy 0.470 0.750 0.654
Dy3 Dy 0.530 0.250 0.346
Dy4 Dy 0.970 0.750 0.846
Ni1 Ni 0.174 0.057 0.583
Ni2 Ni 0.174 0.443 0.583
Ni3 Ni 0.326 0.557 0.083
Ni4 Ni 0.326 0.943 0.083
Ni5 Ni 0.674 0.057 0.917
Ni6 Ni 0.674 0.443 0.917
Ni7 Ni 0.826 0.557 0.417
Ni8 Ni 0.826 0.943 0.417
Ge1 Ge 0.124 0.750 0.346
Ge2 Ge 0.376 0.250 0.846
Ge3 Ge 0.624 0.750 0.154
Ge4 Ge 0.876 0.250 0.654
# N(E_F) = 0.465 states/eV/atom
# Calculated formation energy = -2.53 eV per formula unit

# Dy2NiGe6 (PBE, optimized geometry)
data_Dy2NiGe6
_chemical_formula_sum 'Dy2 Ni1 Ge6'
_symmetry_space_group_name_H-M 'P 1'
_symmetry_Int_Tables_number 1
_symmetry_space_group_name_Hall 'P 1'
_cell_length_a 4.063
_cell_length_b 10.891
_cell_length_c 10.891
_cell_angle_alpha 21.26
_cell_angle_beta 90.00
_cell_angle_gamma 90.00
loop_
_atom_site_label
_atom_site_type_symbol
_atom_site_fract_x
_atom_site_fract_y
_atom_site_fract_z
Dy1 Dy 0.000 0.000 0.000
Dy2 Dy 0.000 0.336 0.336
Ni1 Ni 0.500 0.778 0.778
Ge1 Ge 0.000 0.604 0.604
Ge2 Ge 0.000 0.721 0.721
Ge3 Ge 0.500 0.104 0.104
Ge4 Ge 0.500 0.221 0.221
Ge5 Ge 0.500 0.460 0.460
Ge6 Ge 0.500 0.886 0.886
# N(E_F) = 0.264 states/eV/atom
# Calculated formation energy = -4.71 eV per formula unit

# DyNi2Ge2 (PBE, optimized geometry)
data_DyNi2Ge2
_chemical_formula_sum 'Dy2 Ni4 Ge4'
_symmetry_space_group_name_H-M 'P 1'
_symmetry_Int_Tables_number 1
_symmetry_space_group_name_Hall 'P 1'
_cell_length_a 4.073
_cell_length_b 4.073
_cell_length_c 9.790
_cell_angle_alpha 90.00
_cell_angle_beta 90.00
_cell_angle_gamma 90.00
loop_
_atom_site_label
_atom_site_type_symbol
_atom_site_fract_x
_atom_site_fract_y
_atom_site_fract_z
Dy1 Dy 0.000 0.000 0.000
Dy2 Dy 0.500 0.500 0.500
Ni1 Ni 0.000 0.500 0.250
Ni2 Ni 0.000 0.500 0.750
Ni3 Ni 0.500 0.000 0.250
Ni4 Ni 0.500 0.000 0.750
Ge1 Ge 0.000 0.000 0.371
Ge2 Ge 0.000 0.000 0.629
Ge3 Ge 0.500 0.500 0.129
Ge4 Ge 0.500 0.500 0.871
# N(E_F) = 0.826 states/eV/atom
# Calculated formation energy = -3.46 eV per formula unit

# Dy2Ni3Ge5 (PBE, optimized geometry)
data_Dy2Ni3Ge5
_chemical_formula_sum 'Dy4 Ni6 Ge10'
_symmetry_space_group_name_H-M 'P 1'
_symmetry_Int_Tables_number 1
_symmetry_space_group_name_Hall 'P 1'
_cell_length_a 8.132
_cell_length_b 8.132
_cell_length_c 8.132
_cell_angle_alpha 106.10
_cell_angle_beta 89.16
_cell_angle_gamma 137.51
loop_
_atom_site_label
_atom_site_type_symbol
_atom_site_fract_x
_atom_site_fract_y
_atom_site_fract_z
Dy1 Dy 0.136 0.233 0.369
Dy2 Dy 0.364 0.733 0.098
Dy3 Dy 0.636 0.267 0.902
Dy4 Dy 0.864 0.767 0.631
Ni1 Ni 0.138 0.891 0.029
Ni2 Ni 0.250 0.750 0.500
Ni3 Ni 0.362 0.391 0.754
Ni4 Ni 0.638 0.609 0.246
Ni5 Ni 0.750 0.250 0.500
Ni6 Ni 0.862 0.109 0.971
Ge1 Ge 0.021 0.750 0.271
Ge2 Ge 0.098 0.661 0.759
Ge3 Ge 0.250 0.250 0.000
Ge4 Ge 0.402 0.161 0.562
Ge5 Ge 0.479 0.750 0.729
Ge6 Ge 0.521 0.250 0.271
Ge7 Ge 0.598 0.839 0.438
Ge8 Ge 0.750 0.750 0.000
Ge9 Ge 0.902 0.339 0.241
Ge10 Ge 0.979 0.250 0.729
# N(E_F) = 0.302 states/eV/atom
# Calculated formation energy = -6.35 eV per formula unit
# Relative energy among the computed polymorphs = 0 meV/atom

# Dy6Ni2Ge (PBE, optimized geometry)
data_Dy6Ni2Ge
_chemical_formula_sum 'Dy12 Ni4 Ge2'
_symmetry_space_group_name_H-M 'P 1'
_symmetry_Int_Tables_number 1
_symmetry_space_group_name_Hall 'P 1'
_cell_length_a 8.314
_cell_length_b 8.314
_cell_length_c 8.314
_cell_angle_alpha 113.04
_cell_angle_beta 109.13
_cell_angle_gamma 106.31
loop_
_atom_site_label
_atom_site_type_symbol
_atom_site_fract_x
_atom_site_fract_y
_atom_site_fract_z
Dy1 Dy 0.040 0.234 0.805
Dy2 Dy 0.179 0.284 0.463
Dy3 Dy 0.179 0.716 0.895
Dy4 Dy 0.328 0.019 0.691
Dy5 Dy 0.328 0.637 0.309
Dy6 Dy 0.429 0.234 0.195
Dy7 Dy 0.571 0.766 0.805
Dy8 Dy 0.672 0.363 0.691
Dy9 Dy 0.672 0.981 0.309
Dy10 Dy 0.821 0.284 0.105
Dy11 Dy 0.821 0.716 0.537
Dy12 Dy 0.960 0.766 0.195
Ni1 Ni 0.122 0.622 0.500
Ni2 Ni 0.344 0.000 0.344
Ni3 Ni 0.656 0.000 0.656
Ni4 Ni 0.878 0.378 0.500
Ge1 Ge 0.000 0.000 0.000
Ge2 Ge 0.500 0.500 0.000
# N(E_F) = 0.960 states/eV/atom
# Calculated formation energy = -3.59 eV per formula unit

# Dy2Ni6Ge (PBE, optimized geometry)
data_Dy2Ni6Ge
_chemical_formula_sum 'Dy2 Ni6 Ge1'
_symmetry_space_group_name_H-M 'P 1'
_symmetry_Int_Tables_number 1
_symmetry_space_group_name_Hall 'P 1'
_cell_length_a 5.767
_cell_length_b 5.767
_cell_length_c 5.767
_cell_angle_alpha 60.00
_cell_angle_beta 60.00
_cell_angle_gamma 60.00
loop_
_atom_site_label
_atom_site_type_symbol
_atom_site_fract_x
_atom_site_fract_y
_atom_site_fract_z
Dy1 Dy 0.250 0.250 0.250
Dy2 Dy 0.750 0.750 0.750
Ni1 Ni 0.215 0.215 0.785
Ni2 Ni 0.215 0.785 0.215
Ni3 Ni 0.215 0.785 0.785
Ni4 Ni 0.785 0.215 0.215
Ni5 Ni 0.785 0.215 0.785
Ni6 Ni 0.785 0.785 0.215
Ge1 Ge 0.500 0.500 0.500
# N(E_F) = 0.635 states/eV/atom
# Calculated formation energy = -3.61 eV per formula unit

# DyNi6Ge2 (PBE, optimized geometry)
data_DyNi6Ge2
_chemical_formula_sum 'Dy1 Ni6 Ge2'
_symmetry_space_group_name_H-M 'P 1'
_symmetry_Int_Tables_number 1
_symmetry_space_group_name_Hall 'P 1'
_cell_length_a 3.999
_cell_length_b 3.999
_cell_length_c 7.794
_cell_angle_alpha 90.00
_cell_angle_beta 90.00
_cell_angle_gamma 90.00
loop_
_atom_site_label
_atom_site_type_symbol
_atom_site_fract_x
_atom_site_fract_y
_atom_site_fract_z
Dy1 Dy 0.000 0.000 0.000
Ni1 Ni 0.000 0.000 0.500
Ni2 Ni 0.000 0.500 0.315
Ni3 Ni 0.000 0.500 0.685
Ni4 Ni 0.500 0.000 0.315
Ni5 Ni 0.500 0.000 0.685
Ni6 Ni 0.500 0.500 0.500
Ge1 Ge 0.500 0.500 0.163
Ge2 Ge 0.500 0.500 0.837
# N(E_F) = 1.485 states/eV/atom
# Calculated formation energy = -2.77 eV per formula unit